VASP calculation (GGA-PBE) on Pr3SmS4 after structural relaxation.

Summary:
Calculated volume: 384.74 Å³/cell
Relative energy among the computed polymorphs: 0.000 eV/atom

```
data_Pr3SmS4
_cell_length_a 7.0999
_cell_length_b 8.1027
_cell_length_c 7.0896
_cell_angle_alpha 90.00
_cell_angle_beta 109.38
_cell_angle_gamma 90.00
_space_group_name_H-M_alt 'P 1 2/c 1'
_space_group_IT_number 13
loop_
_space_group_symop_operation_xyz
'x,y,z'
'-x,-y,-z'
'-x,y,-z+1/2'
'x,-y,z+1/2'
loop_
_atom_site_label
_atom_site_fract_x
_atom_site_fract_y
_atom_site_fract_z
Pr1 0.0000 0.1243 0.2500
Pr2 0.0000 0.3745 0.7500
Pr3 0.5000 0.1246 0.7500
Sm1 0.5000 0.3745 0.2500
S1 0.2532 0.1282 0.0031
S2 0.2559 0.3781 0.4999
```

VASP calculation (GGA-PBE) on PrSmS after structural relaxation.

Summary:
Calculated volume: 88.54 Å³/cell
Relative energy among the computed polymorphs: 0.009 eV/atom

```
data_PrSmS
_cell_length_a 3.9413
_cell_length_b 3.9413
_cell_length_c 6.5819
_cell_angle_alpha 90.00
_cell_angle_beta 90.00
_cell_angle_gamma 120.00
_space_group_name_H-M_alt 'P 3 m 1'
_space_group_IT_number 156
loop_
_space_group_symop_operation_xyz
'x,y,z'
'-y,x-y,z'
'-x+y,-x,z'
'-y,-x,z'
'-x+y,y,z'
'x,x-y,z'
loop_
_atom_site_label
_atom_site_fract_x
_atom_site_fract_y
_atom_site_fract_z
Pr1 0.0000 0.0000 0.0000
Sm1 0.3333 0.6667 0.5156
S1 0.6667 0.3333 0.2663
```

VASP calculation (GGA-PBE) on PrSm4S6 after structural relaxation.

Summary:
Calculated volume: 1060.45 Å³/cell
Raw total energy: -283.63 eV/cell

```
data_PrSm4S6
_cell_length_a 3.9557
_cell_length_b 13.2119
_cell_length_c 20.2912
_cell_angle_alpha 90.00
_cell_angle_beta 90.00
_cell_angle_gamma 90.00
_space_group_name_H-M_alt 'C m c m'
_space_group_IT_number 63
_space_group_name_Hall '-C 2c 2'
loop_
_atom_site_label
_atom_site_fract_x
_atom_site_fract_y
_atom_site_fract_z
Pr1 0.0000 0.1542 0.2500
Sm1 0.0000 0.0916 0.6278
Sm2 0.0000 0.3610 0.5401
S1 0.0000 0.0000 0.0000
S2 0.0000 0.1895 0.7500
S3 0.0000 0.2689 0.0898
S4 0.0000 0.4506 0.6669
```

VASP calculation (GGA-PBE) on Pr4SmS7 after structural relaxation.

Summary:
Calculated volume: 620.04 Å³/cell
Raw total energy: -154.60 eV/cell

```
data_Pr4SmS7
_cell_length_a 13.4639
_cell_length_b 3.9790
_cell_length_c 11.9866
_cell_angle_alpha 90.00
_cell_angle_beta 105.08
_cell_angle_gamma 90.00
_space_group_name_H-M_alt 'C 1 m 1'
_space_group_IT_number 8
loop_
_space_group_symop_operation_xyz
'x,y,z'
'x,-y,z'
'x+1/2,y+1/2,z'
'x+1/2,-y+1/2,z'
loop_
_atom_site_label
_atom_site_fract_x
_atom_site_fract_y
_atom_site_fract_z
Pr1 0.0000 0.0000 0.0000
Pr2 0.0877 0.5000 0.3862
Pr3 0.1898 0.0000 0.7684
Pr4 0.3884 0.5000 0.5758
Sm1 0.2767 0.5000 0.1557
S1 0.0484 0.5000 0.6279
S2 0.1299 0.5000 0.9315
S3 0.1528 0.0000 0.2253
S4 0.2282 0.0000 0.5261
S5 0.3461 0.5000 0.7923
S6 0.3857 0.0000 0.0788
S7 0.4302 0.5000 0.3586
```

VASP calculation (GGA-PBE) on Pr3SmS after structural relaxation.

Summary:
Calculated volume: 171.85 Å³/cell
Raw total energy: -26.52 eV/cell

```
data_Pr3SmS
_cell_length_a 5.5597
_cell_length_b 5.5597
_cell_length_c 5.5597
_cell_angle_alpha 90.00
_cell_angle_beta 90.00
_cell_angle_gamma 90.00
_space_group_name_H-M_alt 'P m -3 m'
_space_group_IT_number 221
_space_group_name_Hall '-P 4 2 3'
loop_
_atom_site_label
_atom_site_fract_x
_atom_site_fract_y
_atom_site_fract_z
Pr1 0.0000 0.0000 0.5000
Sm1 0.5000 0.5000 0.5000
S1 0.0000 0.0000 0.0000
```

VASP calculation (GGA-PBE) on Pr6SmS8 after structural relaxation.

Summary:
Calculated volume: 1551.45 Å³/cell
Raw total energy: -387.98 eV/cell

```
data_Pr6SmS8
_cell_length_a 11.5766
_cell_length_b 11.5766
_cell_length_c 11.5766
_cell_angle_alpha 90.00
_cell_angle_beta 90.00
_cell_angle_gamma 90.00
_space_group_name_H-M_alt 'F m -3 m'
_space_group_IT_number 225
_space_group_name_Hall '-F 4 2 3'
loop_
_atom_site_label
_atom_site_fract_x
_atom_site_fract_y
_atom_site_fract_z
Pr1 0.0000 0.2500 0.2500
Sm1 0.0000 0.0000 0.0000
S1 0.0000 0.0000 0.2455
S2 0.2500 0.2500 0.2500
```

VASP calculation (GGA-PBE) on Pr2Sm3S8 after structural relaxation.

Summary:
Calculated volume: 747.19 Å³/cell
Raw total energy: -161.68 eV/cell

```
data_Pr2Sm3S8
_cell_length_a 14.0752
_cell_length_b 8.2243
_cell_length_c 6.8876
_cell_angle_alpha 90.00
_cell_angle_beta 110.42
_cell_angle_gamma 90.00
_space_group_name_H-M_alt 'C 1 2/m 1'
_space_group_IT_number 12
loop_
_space_group_symop_operation_xyz
'x,y,z'
'-x,-y,-z'
'-x,y,-z'
'x,-y,z'
'x+1/2,y+1/2,z'
'-x+1/2,-y+1/2,-z'
'-x+1/2,y+1/2,-z'
'x+1/2,-y+1/2,z'
loop_
_atom_site_label
_atom_site_fract_x
_atom_site_fract_y
_atom_site_fract_z
Pr1 0.2338 0.0000 0.1544
Sm1 0.0000 0.2368 0.5000
Sm2 0.0000 0.5000 0.0000
S1 0.1147 0.5000 0.4297
S2 0.1211 0.0000 0.4238
S3 0.1233 0.2701 0.9133
```

VASP calculation (GGA-PBE) on PrSm3S4 after structural relaxation.

Summary:
Calculated volume: 371.32 Å³/cell
Relative energy among the computed polymorphs: 0.014 eV/atom

```
data_PrSm3S4
_cell_length_a 5.7021
_cell_length_b 5.7021
_cell_length_c 11.4202
_cell_angle_alpha 90.00
_cell_angle_beta 90.00
_cell_angle_gamma 90.00
_space_group_name_H-M_alt 'I 4/m m m'
_space_group_IT_number 139
_space_group_name_Hall '-I 4 2'
loop_
_atom_site_label
_atom_site_fract_x
_atom_site_fract_y
_atom_site_fract_z
Pr1 0.0000 0.0000 0.0000
Sm1 0.0000 0.0000 0.5000
Sm2 0.0000 0.5000 0.2500
S1 0.0000 0.0000 0.2529
S2 0.0000 0.5000 0.0000
```

VASP calculation (GGA-PBE) on Pr3SmS6 after structural relaxation.

Summary:
Calculated volume: 857.54 Å³/cell
Relative energy among the computed polymorphs: 0.028 eV/atom

```
data_Pr3SmS6
_cell_length_a 7.2214
_cell_length_b 7.2214
_cell_length_c 18.9880
_cell_angle_alpha 90.00
_cell_angle_beta 90.00
_cell_angle_gamma 120.00
_space_group_name_H-M_alt 'R 3'
_space_group_IT_number 146
_space_group_name_Hall 'R 3'
loop_
_atom_site_label
_atom_site_fract_x
_atom_site_fract_y
_atom_site_fract_z
Pr1 0.0000 0.0000 0.0000
Pr2 0.0000 0.0000 0.2079
Pr3 0.0000 0.0000 0.4982
Sm1 0.0000 0.0000 0.7053
S1 0.0404 0.3640 0.7707
S2 0.0414 0.6681 0.2711
```

VASP calculation (GGA-PBE) on PrSmS2 after structural relaxation.

Summary:
Calculated volume: 188.97 Å³/cell
Relative energy among the computed polymorphs: 0.000 eV/atom

```
data_PrSmS2
_cell_length_a 7.0116
_cell_length_b 4.0658
_cell_length_c 7.0351
_cell_angle_alpha 90.00
_cell_angle_beta 109.57
_cell_angle_gamma 90.00
_space_group_name_H-M_alt 'C 1 2/m 1'
_space_group_IT_number 12
loop_
_space_group_symop_operation_xyz
'x,y,z'
'-x,-y,-z'
'-x,y,-z'
'x,-y,z'
'x+1/2,y+1/2,z'
'-x+1/2,-y+1/2,-z'
'-x+1/2,y+1/2,-z'
'x+1/2,-y+1/2,z'
loop_
_atom_site_label
_atom_site_fract_x
_atom_site_fract_y
_atom_site_fract_z
Pr1 0.0000 0.0000 0.0000
Sm1 0.0000 0.5000 0.5000
S1 0.2471 0.0000 0.7409
```

VASP calculation (GGA-PBE) on Pr5SmS8 after structural relaxation.

Summary:
Calculated volume: 647.79 Å³/cell
Raw total energy: -179.77 eV/cell

```
data_Pr5SmS8
_cell_length_a 8.7557
_cell_length_b 8.7557
_cell_length_c 8.4500
_cell_angle_alpha 90.00
_cell_angle_beta 90.00
_cell_angle_gamma 90.00
_space_group_name_H-M_alt 'I -4'
_space_group_IT_number 82
loop_
_space_group_symop_operation_xyz
'x,y,z'
'y,-x,-z'
'-x,-y,z'
'-y,x,-z'
'x+1/2,y+1/2,z+1/2'
'y+1/2,-x+1/2,-z+1/2'
'-x+1/2,-y+1/2,z+1/2'
'-y+1/2,x+1/2,-z+1/2'
loop_
_atom_site_label
_atom_site_fract_x
_atom_site_fract_y
_atom_site_fract_z
Pr1 0.0000 0.0000 0.0000
Pr2 0.1466 0.2515 0.3753
Sm1 0.0000 0.5000 0.7500
S1 0.0677 0.1780 0.6983
S2 0.0706 0.3274 0.0514
```

VASP calculation (GGA-PBE) on PrSm3S6 after structural relaxation.

Summary:
Calculated volume: 505.53 Å³/cell
Raw total energy: -128.63 eV/cell

```
data_PrSm3S6
_cell_length_a 11.2753
_cell_length_b 4.0803
_cell_length_c 11.5758
_cell_angle_alpha 90.00
_cell_angle_beta 108.34
_cell_angle_gamma 90.00
_space_group_name_H-M_alt 'P 1 21/m 1'
_space_group_IT_number 11
loop_
_space_group_symop_operation_xyz
'x,y,z'
'-x,-y,-z'
'-x,y+1/2,-z'
'x,-y+1/2,z'
loop_
_atom_site_label
_atom_site_fract_x
_atom_site_fract_y
_atom_site_fract_z
Pr1 0.0468 0.2500 0.1914
Sm1 0.1613 0.2500 0.5853
Sm2 0.3188 0.7500 0.9965
Sm3 0.4363 0.2500 0.3313
S1 0.0828 0.7500 0.4029
S2 0.1146 0.2500 0.9622
S3 0.1921 0.7500 0.7487
S4 0.2588 0.7500 0.2249
S5 0.3985 0.2500 0.5621
S6 0.4775 0.2500 0.1110
```